(1)
# Ag4Pd2Au, relaxed, DFT PBE-GGA
# DFT total energy	-3.47	eV per atom
# calculated formation energy	0.112	eV/atom
# energy above the lowest structure with this stoichiometry	0.000	eV/atom
# magnetic moment	0.000	Bohr magnetons per cell
data_Ag4Pd2Au
_cell_length_a 8.602
_cell_length_b 6.898
_cell_length_c 5.396
_cell_angle_alpha 90.00
_cell_angle_beta 127.49
_cell_angle_gamma 90.00
_symmetry_space_group_name_H-M 'C 1 2/m 1'
_symmetry_Int_Tables_number 12
_symmetry_space_group_name_Hall '-C 2y'
loop_
_atom_site_label
_atom_site_fract_x
_atom_site_fract_y
_atom_site_fract_z
Ag1 0.207 0.206 0.208
Pd1 0.001 0.500 0.251
Au1 0.000 0.000 0.500

---

(2)
# K2CaH2S2O9, relaxed, DFT PBE-GGA
# DFT total energy	-5.84	eV per atom
# magnetic moment	0.001	Bohr magnetons per cell
data_K2CaH2S2O9
_cell_length_a 6.346
_cell_length_b 7.194
_cell_length_c 9.933
_cell_angle_alpha 90.00
_cell_angle_beta 104.07
_cell_angle_gamma 90.00
_symmetry_space_group_name_H-M 'P 1 21/m 1'
_symmetry_Int_Tables_number 11
_symmetry_space_group_name_Hall '-P 2yb'
loop_
_atom_site_label
_atom_site_fract_x
_atom_site_fract_y
_atom_site_fract_z
K1 0.188 0.006 0.335
Ca1 0.334 0.250 0.967
H1 0.408 0.639 0.752
S1 0.161 0.750 0.009
S2 0.276 0.250 0.640
O1 0.012 0.250 0.121
O2 0.055 0.750 0.128
O3 0.064 0.250 0.534
O4 0.286 0.083 0.733
O5 0.306 0.584 0.019
O6 0.458 0.250 0.571
O7 0.498 0.250 0.222

---

(3)
# In5Au, relaxed, DFT PBE-GGA
# DFT total energy	-2.63	eV per atom
# calculated formation energy	0.196	eV/atom
# energy above the lowest structure with this stoichiometry	0.230	eV/atom
# magnetic moment	0.000	Bohr magnetons per cell
data_In5Au
_cell_length_a 8.675
_cell_length_b 8.675
_cell_length_c 8.675
_cell_angle_alpha 90.00
_cell_angle_beta 90.00
_cell_angle_gamma 90.00
_symmetry_space_group_name_H-M 'F -4 3 m'
_symmetry_Int_Tables_number 216
_symmetry_space_group_name_Hall 'F -4 2 3'
loop_
_atom_site_label
_atom_site_fract_x
_atom_site_fract_y
_atom_site_fract_z
In1 0.000 0.000 0.000
In2 0.125 0.125 0.625
Au1 0.250 0.250 0.250

---

(4)
# Ba6H3N2F, relaxed, DFT PBE-GGA
# DFT total energy	-4.14	eV per atom
# magnetic moment	0.000	Bohr magnetons per cell
data_Ba6H3N2F
_cell_length_a 6.987
_cell_length_b 12.113
_cell_length_c 7.197
_cell_angle_alpha 90.00
_cell_angle_beta 109.00
_cell_angle_gamma 90.00
_symmetry_space_group_name_H-M 'C 1 2/m 1'
_symmetry_Int_Tables_number 12
_symmetry_space_group_name_Hall '-C 2y'
loop_
_atom_site_label
_atom_site_fract_x
_atom_site_fract_y
_atom_site_fract_z
Ba1 0.229 0.000 0.233
Ba2 0.250 0.173 0.771
H1 0.000 0.000 0.500
H2 0.000 0.327 0.500
N1 0.000 0.165 0.000
F1 0.000 0.500 0.000

---

(5)
# Cd2InPd8, relaxed, DFT PBE-GGA
# DFT total energy	-4.53	eV per atom
# calculated formation energy	-0.337	eV/atom
# energy above the lowest structure with this stoichiometry	0.000	eV/atom
# magnetic moment	0.000	Bohr magnetons per cell
data_Cd2InPd8
_cell_length_a 14.444
_cell_length_b 4.116
_cell_length_c 6.316
_cell_angle_alpha 90.00
_cell_angle_beta 105.07
_cell_angle_gamma 90.00
_symmetry_space_group_name_H-M 'C 1 2/m 1'
_symmetry_Int_Tables_number 12
_symmetry_space_group_name_Hall '-C 2y'
loop_
_atom_site_label
_atom_site_fract_x
_atom_site_fract_y
_atom_site_fract_z
Cd1 0.224 0.000 0.146
In1 0.000 0.500 0.500
Pd1 0.042 0.000 0.225
Pd2 0.091 0.500 0.955
Pd3 0.138 0.000 0.681
Pd4 0.179 0.500 0.409

---

(6)
# TmBiF6, relaxed, DFT PBE-GGA
# DFT total energy	-5.72	eV per atom
# ΔE_f (raw)	-315.8	kJ per mole of atoms
# magnetic moment	0.000	Bohr magnetons per cell
data_TmBiF6
_cell_length_a 5.347
_cell_length_b 5.347
_cell_length_c 8.086
_cell_angle_alpha 90.00
_cell_angle_beta 90.00
_cell_angle_gamma 90.00
_symmetry_space_group_name_H-M 'P 42/m'
_symmetry_Int_Tables_number 84
_symmetry_space_group_name_Hall '-P 4c'
loop_
_atom_site_label
_atom_site_fract_x
_atom_site_fract_y
_atom_site_fract_z
Tm1 0.000 0.000 0.250
Bi1 0.500 0.500 0.000
F1 0.165 0.808 0.000
F2 0.249 0.705 0.320

---

(7)
# BeCr2Ag, relaxed, DFT PBE-GGA
# DFT total energy	-5.96	eV per atom
# calculated formation energy	0.499	eV/atom
# magnetic moment	0.000	Bohr magnetons per cell
data_BeCr2Ag
_cell_length_a 4.669
_cell_length_b 8.516
_cell_length_c 2.547
_cell_angle_alpha 90.00
_cell_angle_beta 99.41
_cell_angle_gamma 90.00
_symmetry_space_group_name_H-M 'C 1 2/m 1'
_symmetry_Int_Tables_number 12
_symmetry_space_group_name_Hall '-C 2y'
loop_
_atom_site_label
_atom_site_fract_x
_atom_site_fract_y
_atom_site_fract_z
Be1 0.000 0.000 0.000
Cr1 0.250 0.250 0.500
Ag1 0.000 0.500 0.000

---

(8)
# HfTl2Zn, relaxed, DFT PBE-GGA
# DFT total energy	-3.65	eV per atom
# calculated formation energy	0.341	eV/atom
# energy above the lowest structure with this stoichiometry	0.000	eV/atom
# magnetic moment	0.000	Bohr magnetons per cell
data_HfTl2Zn
_cell_length_a 7.765
_cell_length_b 7.765
_cell_length_c 6.124
_cell_angle_alpha 90.00
_cell_angle_beta 90.00
_cell_angle_gamma 90.00
_symmetry_space_group_name_H-M 'I -4 2 d'
_symmetry_Int_Tables_number 122
_symmetry_space_group_name_Hall 'I -4 2bw'
loop_
_atom_site_label
_atom_site_fract_x
_atom_site_fract_y
_atom_site_fract_z
Hf1 0.000 0.000 0.000
Tl1 0.222 0.250 0.625
Zn1 0.000 0.000 0.500

---

(9)
# DyHg2Pd3, relaxed, DFT PBE-GGA
# DFT total energy	-3.95	eV per atom
# calculated formation energy	-0.491	eV/atom
# energy above the lowest structure with this stoichiometry	0.000	eV/atom
# magnetic moment	0.000	Bohr magnetons per cell
data_DyHg2Pd3
_cell_length_a 4.934
_cell_length_b 14.791
_cell_length_c 6.282
_cell_angle_alpha 90.00
_cell_angle_beta 90.00
_cell_angle_gamma 90.00
_symmetry_space_group_name_H-M 'C m m m'
_symmetry_Int_Tables_number 65
_symmetry_space_group_name_Hall '-C 2 2'
loop_
_atom_site_label
_atom_site_fract_x
_atom_site_fract_y
_atom_site_fract_z
Dy1 0.000 0.158 0.000
Hg1 0.000 0.170 0.500
Hg2 0.000 0.500 0.000
Hg3 0.000 0.500 0.500
Pd1 0.000 0.000 0.269
Pd2 0.000 0.331 0.247

---

(10)
# LiMnGe, relaxed, DFT PBE-GGA
# DFT total energy	-5.41	eV per atom
# calculated formation energy	-0.176	eV/atom
# magnetic moment	4.512	Bohr magnetons per cell
data_LiMnGe
_cell_length_a 3.889
_cell_length_b 3.889
_cell_length_c 6.358
_cell_angle_alpha 90.00
_cell_angle_beta 90.00
_cell_angle_gamma 90.00
_symmetry_space_group_name_H-M 'P 4/n m m'
_symmetry_Int_Tables_number 129
loop_
_symmetry_equiv_pos_as_xyz
'x,y,z'
'-x,-y,-z'
'-y+1/2,x,z'
'y+1/2,-x,-z'
'-x+1/2,-y+1/2,z'
'x+1/2,y+1/2,-z'
'y,-x+1/2,z'
'-y,x+1/2,-z'
'x+1/2,-y,-z'
'-x+1/2,y,z'
'-y,-x,-z'
'y,x,z'
'-x,y+1/2,-z'
'x,-y+1/2,z'
'y+1/2,x+1/2,-z'
'-y+1/2,-x+1/2,z'
loop_
_atom_site_label
_atom_site_fract_x
_atom_site_fract_y
_atom_site_fract_z
Li1 0.250 0.250 0.161
Mn1 0.250 0.750 0.500
Ge1 0.250 0.250 0.732

---

(11)
# MgH4Br3N, relaxed, DFT PBE-GGA
# DFT total energy	-4.03	eV per atom
# magnetic moment	0.000	Bohr magnetons per cell
data_MgH4Br3N
_cell_length_a 6.717
_cell_length_b 7.766
_cell_length_c 13.450
_cell_angle_alpha 89.97
_cell_angle_beta 89.99
_cell_angle_gamma 90.00
_symmetry_space_group_name_H-M 'P 1'
_symmetry_Int_Tables_number 1
_symmetry_space_group_name_Hall 'P 1'
loop_
_atom_site_label
_atom_site_fract_x
_atom_site_fract_y
_atom_site_fract_z
Mg1 0.000 0.000 0.000
Mg2 0.007 0.500 0.500
Mg3 0.500 0.000 0.000
Mg4 0.507 0.501 0.500
H1 0.017 0.500 0.833
H2 0.018 0.002 0.333
H3 0.313 0.428 0.107
H4 0.313 0.627 0.161
H5 0.314 0.947 0.732
H6 0.316 0.128 0.660
H7 0.316 0.446 0.234
H8 0.316 0.929 0.605
H9 0.517 0.502 0.166
H10 0.518 0.001 0.666
H11 0.813 0.055 0.267
H12 0.813 0.374 0.838
H13 0.813 0.574 0.893
H14 0.816 0.073 0.394
H15 0.816 0.556 0.766
H16 0.817 0.873 0.340
Br1 0.249 0.265 0.962
Br2 0.249 0.812 0.886
Br3 0.249 0.925 0.151
Br4 0.255 0.427 0.651
Br5 0.256 0.310 0.387
Br6 0.256 0.765 0.461
Br7 0.749 0.076 0.849
Br8 0.749 0.189 0.113
Br9 0.749 0.735 0.038
Br10 0.755 0.692 0.612
Br11 0.756 0.237 0.539
Br12 0.756 0.574 0.348
N1 0.363 0.501 0.167
N2 0.365 0.001 0.666
N3 0.863 0.501 0.832
N4 0.865 0.001 0.334

---

(12)
# KBaZn3, relaxed, DFT PBE-GGA
# DFT total energy	-0.91	eV per atom
# calculated formation energy	0.457	eV/atom
# energy above the lowest structure with this stoichiometry	0.000	eV/atom
# magnetic moment	0.000	Bohr magnetons per cell
data_KBaZn3
_cell_length_a 5.781
_cell_length_b 5.781
_cell_length_c 5.781
_cell_angle_alpha 90.00
_cell_angle_beta 90.00
_cell_angle_gamma 90.00
_symmetry_space_group_name_H-M 'P m -3 m'
_symmetry_Int_Tables_number 221
_symmetry_space_group_name_Hall '-P 4 2 3'
loop_
_atom_site_label
_atom_site_fract_x
_atom_site_fract_y
_atom_site_fract_z
K1 0.000 0.000 0.000
Ba1 0.500 0.500 0.500
Zn1 0.000 0.000 0.500